Density functional theory data (PBE-GGA) for a relaxed Cs3PrNd2Te6 crystal.

```
data_Cs3PrNd2Te6
_chemical_formula_sum 'Cs3 Pr1 Nd2 Te6'
_cell_length_a 8.120
_cell_length_b 8.120
_cell_length_c 9.353
_cell_angle_alpha 98.32
_cell_angle_beta 98.32
_cell_angle_gamma 120.00
_symmetry_space_group_name_H-M 'P 1'
_symmetry_Int_Tables_number 1
loop_
_symmetry_equiv_pos_as_xyz
'x,y,z'
loop_
_atom_site_label
_atom_site_type_symbol
_atom_site_fract_x
_atom_site_fract_y
_atom_site_fract_z
_atom_site_occupancy
Cs1 Cs 0.166 0.834 0.500 1
Cs2 Cs 0.834 0.166 0.500 1
Cs3 Cs 0.500 0.500 0.500 1
Pr1 Pr 0.000 0.000 0.000 1
Te1 Te 0.270 0.270 0.805 1
Te2 Te 0.400 0.065 0.196 1
Te3 Te 0.600 0.935 0.804 1
Te4 Te 0.065 0.400 0.196 1
Te5 Te 0.935 0.600 0.804 1
Te6 Te 0.730 0.730 0.195 1
Nd1 Nd 0.333 0.667 0.000 1
Nd2 Nd 0.667 0.333 0.000 1
```

## Properties
raw formation energy: -1416 meV per atom
total magnetization: 0.000 μB/atom